# Hf4TlAuN2 (GGA-PBE, relaxed)
# Magnetic moment (μB/cell): 0.00
# Uncorrected energy (hartree per atom): -0.323
data_Hf4TlAuN2
_chemical_formula_sum 'Hf4 Tl1 Au1 N2'
_cell_length_a 3.2726
_cell_length_b 3.2726
_cell_length_c 14.2638
_cell_angle_alpha 90.00
_cell_angle_beta 90.00
_cell_angle_gamma 120.00
_space_group_name_H-M_alt 'P -6 m 2'
_space_group_IT_number 187
_space_group_name_Hall 'P -6 2'
loop_
_atom_site_label
_atom_site_type_symbol
_atom_site_fract_x
_atom_site_fract_y
_atom_site_fract_z
_atom_site_occupancy
Hf1 Hf 0.0000 0.0000 0.1566 1
Hf2 Hf 0.6667 0.3333 0.3280 1
Tl1 Tl 0.0000 0.0000 0.5000 1
Au1 Au 0.6667 0.3333 0.0000 1
N1 N 0.3333 0.6667 0.2422 1